Here is an optimized crystal structure of CeHoMnAl from Alexandria. Energies are from GGA-PBE.

```
CeHoMnAl
1.0
7.168 0.000 0.000
0.000 7.168 0.000
0.000 0.000 7.168
Ce Ho Mn Al
4 4 4 4
direct
0.000 0.000 0.000
0.000 0.500 0.500
0.500 0.000 0.500
0.500 0.500 0.000
0.000 0.000 0.500
0.000 0.500 0.000
0.500 0.000 0.000
0.500 0.500 0.500
0.250 0.250 0.250
0.250 0.750 0.750
0.750 0.250 0.750
0.750 0.750 0.250
0.250 0.250 0.750
0.250 0.750 0.250
0.750 0.250 0.250
0.750 0.750 0.750
```

## Properties
formation enthalpy at 0 K: -0.0297 eV per atom

Here is an optimized crystal structure of InMoP2 from Alexandria. Energies are from GGA-PBE.

```
InMoP2
1.0
5.773 0.000 0.000
0.000 6.931 0.000
-0.008 0.000 3.253
In Mo P
2 2 4
direct
0.000 0.000 0.000
0.500 0.500 0.000
0.000 0.500 0.000
0.500 0.000 0.000
0.250 0.250 0.500
0.250 0.750 0.500
0.750 0.250 0.500
0.750 0.750 0.500
```

## Properties
formation enthalpy at 0 K: 0.4069 eV per atom

Here is an optimized crystal structure of BeCuAg2 from Alexandria. Energies are from GGA-PBE.

```
BeCuAg2
1.0
2.853 0.000 0.000
0.000 2.853 0.000
0.000 0.000 6.820
Be Cu Ag
1 1 2
direct
0.000 0.000 0.000
0.500 0.500 0.172
0.000 0.000 0.446
0.500 0.500 0.766
```

## Properties
formation enthalpy at 0 K: 0.0641 eV per atom

Here is an optimized crystal structure of LaTmCBr from Alexandria. Energies are from GGA-PBE.

```
LaTmCBr
1.0
3.718 0.000 0.000
-1.859 3.220 0.000
0.000 0.000 22.338
La Tm C Br
3 3 3 3
direct
0.000 0.000 0.000
0.333 0.667 0.667
0.667 0.333 0.333
0.000 0.000 0.213
0.333 0.667 0.880
0.667 0.333 0.546
0.000 0.000 0.598
0.333 0.667 0.265
0.667 0.333 0.931
0.000 0.000 0.783
0.333 0.667 0.450
0.667 0.333 0.116
```

## Properties
energy relative to the elements, uncorrected: -0.925 eV per atom

Here is an optimized crystal structure of BaAgAs2Br from Alexandria. Energies are from GGA-PBE.

```
BaAgAs2Br
1.0
4.978 0.000 0.000
0.000 4.978 0.000
0.000 0.000 6.162
Ba Ag As Br
1 1 2 1
direct
0.000 0.000 0.000
0.500 0.500 0.500
0.000 0.500 0.500
0.500 0.000 0.500
0.500 0.500 0.000
```

## Properties
distance to the lowest polymorph of the same formula: 0 meV/atom
energy relative to the elements, uncorrected: -0.313 eV per atom

Here is an optimized crystal structure of RbYSb2Br from Alexandria. Energies are from GGA-PBE.

```
RbYSb2Br
1.0
5.890 0.000 0.000
0.000 5.890 0.000
0.000 0.000 6.144
Rb Y Sb Br
1 1 2 1
direct
0.000 0.000 0.000
0.000 0.000 0.500
0.000 0.500 0.000
0.500 0.000 0.000
0.500 0.500 0.500
```

## Properties
energy relative to the elements, uncorrected: 1.117 eV per atom

Here is an optimized crystal structure of LiMnSe2 from Alexandria. Energies are from GGA-PBE.

```
LiMnSe2
1.0
7.588 0.000 0.000
0.000 7.286 0.000
-1.137 0.000 2.738
Li Mn Se
2 2 4
direct
0.000 0.000 0.000
0.500 0.500 0.000
0.000 0.500 0.000
0.500 0.000 0.000
0.250 0.250 0.500
0.250 0.750 0.500
0.750 0.250 0.500
0.750 0.750 0.500
```

## Properties
energy relative to the elements, uncorrected: -0.433 eV per atom

Here is an optimized crystal structure of Cs3SiH6 from Alexandria. Energies are from GGA-PBE.

```
Cs3SiH6
1.0
0.000 4.768 5.673
3.999 0.000 5.673
3.999 4.768 0.000
Cs Si H
3 1 6
direct
0.000 0.000 0.000
0.250 0.250 0.250
0.750 0.750 0.750
0.500 0.500 0.500
0.255 0.542 0.745
0.326 0.674 0.326
0.458 0.745 0.542
0.542 0.255 0.458
0.674 0.326 0.674
0.745 0.458 0.255
```

## Properties
VASP energy: -28.7 eV per formula unit

Here is an optimized crystal structure of La2DySn3Pd4 from Alexandria. Energies are from GGA-PBE.

```
La2DySn3Pd4
1.0
4.638 0.000 0.000
0.000 4.638 0.000
0.000 0.000 11.093
La Dy Sn Pd
2 1 3 4
direct
0.000 0.500 0.226
0.500 0.000 0.774
0.000 0.000 0.500
0.000 0.500 0.877
0.500 0.000 0.123
0.500 0.500 0.500
0.000 0.000 0.000
0.000 0.500 0.642
0.500 0.000 0.358
0.500 0.500 0.000
```

## Properties
formation enthalpy at 0 K: -0.8475 eV per atom

Here is an optimized crystal structure of HfPaBi2 from Alexandria. Energies are from GGA-PBE.

```
HfPaBi2
1.0
3.309 0.000 0.000
-1.655 2.866 0.000
0.000 0.000 35.087
Hf Pa Bi
3 3 6
direct
0.000 0.000 0.000
0.333 0.667 0.667
0.667 0.333 0.333
0.000 0.000 0.500
0.333 0.667 0.167
0.667 0.333 0.833
0.000 0.000 0.087
0.000 0.000 0.913
0.333 0.667 0.580
0.333 0.667 0.754
0.667 0.333 0.246
0.667 0.333 0.420
```

## Properties
formation enthalpy at 0 K: 0.2424 eV per atom
distance to the lowest polymorph of the same formula: 308 meV/atom

Here is an optimized crystal structure of V2Pd5W from Alexandria. Energies are from GGA-PBE.

```
V2Pd5W
1.0
5.571 0.000 0.000
0.000 11.130 0.000
0.000 0.000 3.828
V Pd W
4 10 2
direct
0.234 0.120 0.000
0.266 0.620 0.000
0.734 0.380 0.000
0.766 0.880 0.000
0.000 0.500 0.500
0.010 0.751 0.500
0.247 0.376 0.000
0.253 0.876 0.000
0.490 0.251 0.500
0.500 0.000 0.500
0.510 0.749 0.500
0.747 0.124 0.000
0.753 0.624 0.000
0.990 0.249 0.500
0.000 0.000 0.500
0.500 0.500 0.500
```

## Properties
formation enthalpy at 0 K: -0.1359 eV per atom

Here is an optimized crystal structure of Nd6Y4Pu from Alexandria. Energies are from GGA-PBE.

```
Nd6Y4Pu
1.0
2.932 -4.878 0.000
2.932 4.878 0.000
0.000 0.000 26.021
Nd Y Pu
12 8 2
direct
0.000 0.000 0.000
0.000 0.000 0.500
0.034 0.966 0.750
0.305 0.695 0.103
0.305 0.695 0.397
0.369 0.631 0.682
0.369 0.631 0.818
0.631 0.369 0.182
0.631 0.369 0.318
0.695 0.305 0.603
0.695 0.305 0.897
0.966 0.034 0.250
0.036 0.964 0.624
0.036 0.964 0.876
0.347 0.653 0.544
0.347 0.653 0.956
0.653 0.347 0.044
0.653 0.347 0.456
0.964 0.036 0.124
0.964 0.036 0.376
0.302 0.698 0.250
0.698 0.302 0.750
```

## Properties
formation enthalpy at 0 K: 0.1691 eV per atom

Here is an optimized crystal structure of AcSiGe2Ru2 from Alexandria. Energies are from GGA-PBE.

```
AcSiGe2Ru2
1.0
4.505 0.000 0.000
0.000 4.505 0.000
0.000 0.000 5.908
Ac Si Ge Ru
1 1 2 2
direct
0.000 0.000 0.000
0.000 0.000 0.500
0.500 0.500 0.240
0.500 0.500 0.760
0.000 0.500 0.500
0.500 0.000 0.500
```

## Properties
energy relative to the elements, uncorrected: -0.283 eV per atom

Here is an optimized crystal structure of Li2Ce2Co15 from Alexandria. Energies are from GGA-PBE.

```
Li2Ce2Co15
1.0
4.188 2.418 4.014
-4.188 2.418 4.014
0.000 -4.836 4.014
Li Ce Co
2 2 15
direct
0.096 0.096 0.096
0.904 0.904 0.904
0.346 0.346 0.346
0.654 0.654 0.654
0.000 0.000 0.500
0.000 0.291 0.709
0.000 0.500 0.000
0.000 0.709 0.291
0.152 0.652 0.652
0.291 0.000 0.709
0.291 0.709 0.000
0.348 0.348 0.848
0.348 0.848 0.348
0.500 0.000 0.000
0.652 0.152 0.652
0.652 0.652 0.152
0.709 0.000 0.291
0.709 0.291 0.000
0.848 0.348 0.348
```

## Properties
formation enthalpy at 0 K: -0.0626 eV per atom

Here is an optimized crystal structure of Ag2HgMo from Alexandria. Energies are from GGA-PBE.

```
Ag2HgMo
1.0
2.788 0.000 0.000
0.000 4.272 0.000
0.000 0.000 6.104
Ag Hg Mo
2 1 1
direct
0.000 0.000 0.000
0.500 0.500 0.244
0.000 0.000 0.515
0.500 0.500 0.760
```

## Properties
formation enthalpy at 0 K: 0.4993 eV per atom

Here is an optimized crystal structure of BaHg3Br from Alexandria. Energies are from GGA-PBE.

```
BaHg3Br
1.0
6.765 0.000 0.000
0.000 6.765 0.000
0.000 0.000 6.765
Ba Hg Br
1 3 1
direct
0.000 0.000 0.000
0.000 0.000 0.500
0.000 0.500 0.000
0.500 0.000 0.000
0.500 0.500 0.500
```

## Properties
distance to the lowest polymorph of the same formula: 0 meV/atom
energy relative to the elements, uncorrected: -0.103 eV per atom

Here is an optimized crystal structure of BeGaP2O from Alexandria. Energies are from GGA-PBE.

```
BeGaP2O
1.0
4.910 0.000 0.000
0.000 4.910 0.000
0.000 0.000 3.504
Be Ga P O
1 1 2 1
direct
0.000 0.000 0.000
0.500 0.500 0.500
0.000 0.500 0.500
0.500 0.000 0.500
0.500 0.500 0.000
```

## Properties
distance to the lowest polymorph of the same formula: 808 meV/atom
energy relative to the elements, uncorrected: 0.676 eV per atom

Here is an optimized crystal structure of Cd2IrAu from Alexandria. Energies are from GGA-PBE.

```
Cd2IrAu
1.0
4.249 0.000 0.000
0.000 4.249 0.000
0.000 0.000 7.948
Cd Ir Au
4 2 2
direct
0.000 0.500 0.250
0.000 0.500 0.750
0.500 0.000 0.250
0.500 0.000 0.750
0.000 0.000 0.000
0.500 0.500 0.500
0.000 0.000 0.500
0.500 0.500 0.000
```

## Properties
formation enthalpy at 0 K: 0.0530 eV per atom
distance to the lowest polymorph of the same formula: 23 meV/atom

Here is an optimized crystal structure of MgCu2Pd6 from Alexandria. Energies are from GGA-PBE.

```
MgCu2Pd6
1.0
3.806 -2.199 0.000
3.806 2.199 0.000
-0.009 0.000 7.996
Mg Cu Pd
1 2 6
direct
0.000 0.000 0.000
0.333 0.333 0.224
0.667 0.667 0.776
0.000 0.000 0.324
0.000 0.000 0.676
0.333 0.333 0.548
0.333 0.333 0.891
0.667 0.667 0.109
0.667 0.667 0.452
```

## Properties
formation enthalpy at 0 K: -0.2214 eV per atom
distance to the lowest polymorph of the same formula: 34 meV/atom

Here is an optimized crystal structure of Sm4ErSb5 from Alexandria. Energies are from GGA-PBE.

```
Sm4ErSb5
1.0
-2.225 2.225 15.717
2.225 -2.225 15.717
2.225 2.225 -15.717
Sm Er Sb
4 1 5
direct
0.100 0.100 0.000
0.301 0.301 0.000
0.699 0.699 0.000
0.900 0.900 0.000
0.500 0.500 0.000
0.000 0.000 0.000
0.200 0.200 0.000
0.402 0.402 0.000
0.598 0.598 0.000
0.800 0.800 0.000
```

## Properties
energy relative to the elements, uncorrected: -1.158 eV per atom

Here is an optimized crystal structure of BeFeAs2 from Alexandria. Energies are from GGA-PBE.

```
BeFeAs2
1.0
2.857 0.000 0.000
0.000 2.857 0.000
0.000 0.000 7.485
Be Fe As
1 1 2
direct
0.000 0.000 0.000
0.500 0.500 0.135
0.000 0.000 0.332
0.500 0.500 0.799
```

## Properties
formation enthalpy at 0 K: -0.0118 eV per atom
distance to the lowest polymorph of the same formula: 0 meV/atom

Here is an optimized crystal structure of NaSr4Pm3S8 from Alexandria. Energies are from GGA-PBE.

```
NaSr4Pm3S8
1.0
4.145 2.393 6.819
-4.145 2.393 6.819
0.000 -4.786 6.819
Na Sr Pm S
1 4 3 8
direct
0.000 0.000 0.000
0.000 0.000 0.500
0.000 0.500 0.000
0.500 0.000 0.000
0.500 0.500 0.500
0.000 0.500 0.500
0.500 0.000 0.500
0.500 0.500 0.000
0.249 0.249 0.740
0.249 0.740 0.249
0.254 0.254 0.254
0.260 0.751 0.751
0.740 0.249 0.249
0.746 0.746 0.746
0.751 0.260 0.751
0.751 0.751 0.260
```

## Properties
energy relative to the elements, uncorrected: -2.010 eV per atom

Here is an optimized crystal structure of NdErTc4 from Alexandria. Energies are from GGA-PBE.

```
NdErTc4
1.0
0.000 3.846 3.846
3.846 0.000 3.846
3.846 3.846 0.000
Nd Er Tc
1 1 4
direct
0.000 0.000 0.000
0.250 0.250 0.250
0.125 0.625 0.625
0.625 0.125 0.625
0.625 0.625 0.125
0.625 0.625 0.625
```

## Properties
formation enthalpy at 0 K: -0.0507 eV per atom

| no. | magnetic moment (μB per formula unit) |
| --- | --- |
| 1 | 2.319 |
| 2 | 0.000 |
| 3 | 0.000 |
| 4 | 0.003 |
| 5 | 0.861 |
| 6 | 0.146 |
| 7 | 4.415 |
| 8 | 0.385 |
| 9 | 0.000 |
| 10 | 0.006 |
| 11 | 0.000 |
| 12 | 6.738 |
| 13 | 0.541 |
| 14 | 18.603 |
| 15 | 0.667 |
| 16 | 0.000 |
| 17 | 0.000 |
| 18 | 0.000 |
| 19 | 0.000 |
| 20 | 0.000 |
| 21 | 0.000 |
| 22 | 0.000 |
| 23 | 0.037 |